Here is a geometry-optimized TiCd3Sn structure from the Alexandria database. Energies are from PBE-GGA.

Cell lengths 5.3651, 5.3651, 5.3651 Å; angles 90.00, 90.00, 90.00 degrees
Fractional coordinates of all 5 atoms:
Ti 0.0000 0.0000 0.0000
Cd 0.0000 0.5000 0.5000
Cd 0.5000 0.0000 0.5000
Cd 0.5000 0.5000 0.0000
Sn 0.5000 0.5000 0.5000

Output
E_form ... 1015 meV/atom

Here is a geometry-optimized PmZn12Ag4 structure from the Alexandria database. Energies are from PBE-GGA.

Cell lengths 7.6789, 7.6789, 7.6789 Å; angles 109.47, 109.47, 109.47 degrees
Fractional coordinates of all 17 atoms:
Pm 0.0000 0.0000 0.0000
Zn 0.1459 0.5033 0.3574
Zn 0.1459 0.7885 0.6426
Zn 0.2115 0.3574 0.8541
Zn 0.3574 0.1459 0.5033
Zn 0.3574 0.8541 0.2115
Zn 0.4967 0.6426 0.8541
Zn 0.5033 0.3574 0.1459
Zn 0.6426 0.1459 0.7885
Zn 0.6426 0.8541 0.4967
Zn 0.7885 0.6426 0.1459
Zn 0.8541 0.2115 0.3574
Zn 0.8541 0.4967 0.6426
Ag 0.0000 0.0000 0.5000
Ag 0.0000 0.5000 0.0000
Ag 0.5000 0.0000 0.0000
Ag 0.5000 0.5000 0.5000

Output
E_form ... 182 meV/atom

Here is a geometry-optimized CdPC structure from the Alexandria database. Energies are from PBE-GGA.

Cell lengths 3.7623, 15.9825, 4.3649 Å; angles 90.00, 90.00, 90.00 degrees
Fractional coordinates of all 12 atoms:
Cd 0.0000 0.1806 0.0000
Cd 0.0000 0.8194 0.0000
Cd 0.5000 0.3194 0.0000
Cd 0.5000 0.6806 0.0000
P 0.0000 0.0845 0.5000
P 0.0000 0.9155 0.5000
P 0.5000 0.4155 0.5000
P 0.5000 0.5845 0.5000
C 0.1800 0.5000 0.5000
C 0.3200 0.0000 0.5000
C 0.6800 0.0000 0.5000
C 0.8200 0.5000 0.5000

Output
E_form ... 296 meV/atom

Here is a geometry-optimized RbVGe structure from the Alexandria database. Energies are from PBE-GGA.

Cell lengths 4.1900, 4.1900, 11.4324 Å; angles 90.00, 90.00, 90.00 degrees
Fractional coordinates of all 6 atoms:
Rb 0.2500 0.2500 0.2054
Rb 0.7500 0.7500 0.7946
V 0.2500 0.7500 0.5000
V 0.7500 0.2500 0.5000
Ge 0.2500 0.2500 0.6173
Ge 0.7500 0.7500 0.3827

Output
E_form ... 100 meV/atom

Here is a geometry-optimized SiSbBr structure from the Alexandria database. Energies are from PBE-GGA.

Cell lengths 6.9504, 6.9504, 6.9504 Å; angles 90.00, 90.00, 90.00 degrees
Fractional coordinates of all 12 atoms:
Si 0.0000 0.0000 0.0000
Si 0.0000 0.5000 0.5000
Si 0.5000 0.0000 0.5000
Si 0.5000 0.5000 0.0000
Sb 0.2500 0.2500 0.2500
Sb 0.2500 0.7500 0.7500
Sb 0.7500 0.2500 0.7500
Sb 0.7500 0.7500 0.2500
Br 0.0000 0.0000 0.5000
Br 0.0000 0.5000 0.0000
Br 0.5000 0.0000 0.0000
Br 0.5000 0.5000 0.5000

Output
Energy relative to the elements, uncorrected ... 457 meV per atom

Here is a geometry-optimized Nd2SmPuO8 structure from the Alexandria database. Energies are from PBE-GGA.

Cell lengths 4.0479, 5.5631, 7.5816 Å; angles 89.94, 89.98, 83.76 degrees
Fractional coordinates of all 12 atoms:
Nd 0.0000 0.0006 0.2432
Nd 0.0000 0.9994 0.7568
Sm 0.5000 0.5000 0.0000
Pu 0.5000 0.5000 0.5000
O 0.0012 0.7507 0.0004
O 0.0764 0.7127 0.5001
O 0.4532 0.2696 0.7178
O 0.4538 0.2682 0.2815
O 0.5462 0.7318 0.7185
O 0.5468 0.7304 0.2822
O 0.9236 0.2873 0.4999
O 0.9988 0.2493 0.9996

Output
Energy relative to the elements, uncorrected ... -2989 meV per atom

Here is a geometry-optimized CuBi2O2 structure from the Alexandria database. Energies are from PBE-GGA.

Cell lengths 7.1832, 7.1832, 3.2695 Å; angles 90.00, 90.00, 90.00 degrees
Fractional coordinates of all 10 atoms:
Cu 0.0000 0.0000 0.0000
Cu 0.5000 0.5000 0.0000
Bi 0.1937 0.3063 0.5000
Bi 0.3063 0.8063 0.5000
Bi 0.6937 0.1937 0.5000
Bi 0.8063 0.6937 0.5000
O 0.1454 0.6454 0.0000
O 0.3546 0.1454 0.0000
O 0.6454 0.8546 0.0000
O 0.8546 0.3546 0.0000

Output
Energy relative to the elements, uncorrected ... -272 meV per atom

Here is a geometry-optimized CdTcSb structure from the Alexandria database. Energies are from PBE-GGA.

Cell lengths 3.4342, 3.4342, 9.8814 Å; angles 90.00, 90.00, 90.00 degrees
Fractional coordinates of all 6 atoms:
Cd 0.0000 0.0000 0.0000
Cd 0.5000 0.5000 0.5000
Tc 0.0000 0.0000 0.3226
Tc 0.5000 0.5000 0.8226
Sb 0.0000 0.0000 0.6962
Sb 0.5000 0.5000 0.1962

Output
Energy relative to the elements, uncorrected ... 185 meV per atom

Number 1: N(E_F) 7.78 states/eV/cell. Number 2: N(E_F) 7.73 states/eV/cell. Number 3: N(E_F) 4.55 states/eV/cell. Number 4: N(E_F) 5.58 states/eV/cell. Number 5: N(E_F) 7.42 states/eV/cell. Number 6: N(E_F) 1.95 states/eV/cell. Number 7: N(E_F) 3.88 states/eV/cell. Number 8: N(E_F) 1.66 states/eV/cell.